Record 1
# MgTl2Hg7 PBE-GGA optimized geometry
data_MgTl2Hg7
_cell_length_a 3.3457
_cell_length_b 8.6346
_cell_length_c 9.7505
_cell_angle_alpha 102.96
_cell_angle_beta 92.82
_cell_angle_gamma 97.03
_space_group_name_H-M_alt 'P -1'
_space_group_IT_number 2
_space_group_name_Hall '-P 1'
loop_
_atom_site_label
_atom_site_fract_x
_atom_site_fract_y
_atom_site_fract_z
Mg1 0.0000 0.0000 0.0000
Tl1 0.2109 0.5857 0.3694
Hg1 0.0000 0.5000 0.0000
Hg2 0.1340 0.1168 0.4089
Hg3 0.4001 0.7338 0.8201
Hg4 0.4903 0.1674 0.8126
# * energy of formation: -0.026 eV per atom

Record 2
# TlFeTc2 PBE-GGA optimized geometry
data_TlFeTc2
_cell_length_a 3.9334
_cell_length_b 3.9334
_cell_length_c 4.0731
_cell_angle_alpha 90.00
_cell_angle_beta 90.00
_cell_angle_gamma 90.00
_space_group_name_H-M_alt 'P 4/m m m'
_space_group_IT_number 123
_space_group_name_Hall '-P 4 2'
loop_
_atom_site_label
_atom_site_fract_x
_atom_site_fract_y
_atom_site_fract_z
Tl1 0.0000 0.0000 0.0000
Fe1 0.5000 0.5000 0.0000
Tc1 0.0000 0.5000 0.5000
# * energy of formation: 0.648 eV per atom

Record 3
# Rb3Tb3GeO8 PBE-GGA optimized geometry
data_Rb3Tb3GeO8
_cell_length_a 6.7977
_cell_length_b 6.7977
_cell_length_c 19.8656
_cell_angle_alpha 90.00
_cell_angle_beta 90.00
_cell_angle_gamma 120.00
_space_group_name_H-M_alt 'R -3 m'
_space_group_IT_number 166
_space_group_name_Hall '-R 3 2"'
loop_
_atom_site_label
_atom_site_fract_x
_atom_site_fract_y
_atom_site_fract_z
Rb1 0.0000 0.5000 0.0000
Tb1 0.0000 0.5000 0.5000
Ge1 0.0000 0.0000 0.5000
O1 0.0000 0.0000 0.2238
O2 0.0402 0.5201 0.2203
# * uncorrected energy: -6.51 eV per atom

Record 4
# ZrOsPb PBE-GGA optimized geometry
data_ZrOsPb
_cell_length_a 6.5730
_cell_length_b 6.5730
_cell_length_c 6.5730
_cell_angle_alpha 90.00
_cell_angle_beta 90.00
_cell_angle_gamma 90.00
_space_group_name_H-M_alt 'F -4 3 m'
_space_group_IT_number 216
_space_group_name_Hall 'F -4 2 3'
loop_
_atom_site_label
_atom_site_fract_x
_atom_site_fract_y
_atom_site_fract_z
Zr1 0.0000 0.0000 0.0000
Os1 0.2500 0.2500 0.7500
Pb1 0.2500 0.2500 0.2500
# * energy of formation: 0.659 eV per atom

Record 5
# ZnPd3Au4 PBE-GGA optimized geometry
data_ZnPd3Au4
_cell_length_a 18.4299
_cell_length_b 2.9374
_cell_length_c 4.9006
_cell_angle_alpha 90.00
_cell_angle_beta 93.89
_cell_angle_gamma 90.00
_space_group_name_H-M_alt 'C 1 2/m 1'
_space_group_IT_number 12
_space_group_name_Hall '-C 2y'
loop_
_atom_site_label
_atom_site_fract_x
_atom_site_fract_y
_atom_site_fract_z
Zn1 0.0000 0.0000 0.0000
Pd1 0.0000 0.5000 0.5000
Pd2 0.2496 0.0000 0.7512
Au1 0.1223 0.5000 0.8789
Au2 0.1252 0.0000 0.3756
# * energy of formation: -0.144 eV per atom

Record 6
# BaAc3S4 PBE-GGA optimized geometry
data_BaAc3S4
_cell_length_a 8.7615
_cell_length_b 12.3184
_cell_length_c 4.3364
_cell_angle_alpha 90.00
_cell_angle_beta 90.00
_cell_angle_gamma 90.00
_space_group_name_H-M_alt 'C m m m'
_space_group_IT_number 65
_space_group_name_Hall '-C 2 2'
loop_
_atom_site_label
_atom_site_fract_x
_atom_site_fract_y
_atom_site_fract_z
Ba1 0.0000 0.0000 0.0000
Ac1 0.0000 0.5000 0.0000
Ac2 0.2500 0.2500 0.5000
S1 0.0000 0.2545 0.0000
S2 0.2396 0.5000 0.5000
# * uncorrected energy: -5.86 eV per atom

Record 7
# AcPrAl2Ge2 PBE-GGA optimized geometry
data_AcPrAl2Ge2
_cell_length_a 4.3318
_cell_length_b 4.3318
_cell_length_c 8.9919
_cell_angle_alpha 90.00
_cell_angle_beta 90.00
_cell_angle_gamma 120.00
_space_group_name_H-M_alt 'P -3 m 1'
_space_group_IT_number 164
_space_group_name_Hall '-P 3 2"'
loop_
_atom_site_label
_atom_site_fract_x
_atom_site_fract_y
_atom_site_fract_z
Ac1 0.0000 0.0000 0.0000
Pr1 0.0000 0.0000 0.5000
Al1 0.3333 0.6667 0.7462
Ge1 0.3333 0.6667 0.2703
# * energy of formation: -0.639 eV per atom

Record 8
# NdPaSiN4 PBE-GGA optimized geometry
data_NdPaSiN4
_cell_length_a 5.5408
_cell_length_b 5.5345
_cell_length_c 6.7996
_cell_angle_alpha 90.00
_cell_angle_beta 107.58
_cell_angle_gamma 90.00
_space_group_name_H-M_alt 'P 1 21/m 1'
_space_group_IT_number 11
_space_group_name_Hall '-P 2yb'
loop_
_atom_site_label
_atom_site_fract_x
_atom_site_fract_y
_atom_site_fract_z
Nd1 0.2170 0.2500 0.4278
Pa1 0.2796 0.2500 0.9535
Si1 0.2572 0.7500 0.1876
N1 0.0532 0.7500 0.3405
N2 0.0566 0.7500 0.9307
N3 0.4655 0.5079 0.2253
# * uncorrected energy: -8.87 eV per atom

Record 9
# SnBiP2Cl PBE-GGA optimized geometry
data_SnBiP2Cl
_cell_length_a 5.1155
_cell_length_b 5.1155
_cell_length_c 4.9923
_cell_angle_alpha 90.00
_cell_angle_beta 90.00
_cell_angle_gamma 90.00
_space_group_name_H-M_alt 'P 4/m m m'
_space_group_IT_number 123
_space_group_name_Hall '-P 4 2'
loop_
_atom_site_label
_atom_site_fract_x
_atom_site_fract_y
_atom_site_fract_z
Sn1 0.0000 0.0000 0.0000
Bi1 0.5000 0.5000 0.5000
P1 0.0000 0.5000 0.0000
Cl1 0.0000 0.0000 0.5000
# * uncorrected energy: -3.62 eV per atom

Record 10
# Rb2NdSbS4 PBE-GGA optimized geometry
data_Rb2NdSbS4
_cell_length_a 8.6347
_cell_length_b 8.6782
_cell_length_c 12.2390
_cell_angle_alpha 90.00
_cell_angle_beta 90.00
_cell_angle_gamma 90.00
_space_group_name_H-M_alt 'I m m a'
_space_group_IT_number 74
_space_group_name_Hall '-I 2b 2'
loop_
_atom_site_label
_atom_site_fract_x
_atom_site_fract_y
_atom_site_fract_z
Rb1 0.0000 0.0000 0.0000
Rb2 0.2500 0.2500 0.2500
Nd1 0.0000 0.0000 0.5000
Sb1 0.2500 0.2500 0.7500
S1 0.0000 0.0358 0.7345
S2 0.2183 0.2500 0.5194
# * uncorrected energy: -4.62 eV per atom

Record 11
# ZnMo2As PBE-GGA optimized geometry
data_ZnMo2As
_cell_length_a 3.2828
_cell_length_b 3.2828
_cell_length_c 5.7521
_cell_angle_alpha 90.00
_cell_angle_beta 90.00
_cell_angle_gamma 90.00
_space_group_name_H-M_alt 'P 4 m m'
_space_group_IT_number 99
_space_group_name_Hall 'P 4 -2'
loop_
_atom_site_label
_atom_site_fract_x
_atom_site_fract_y
_atom_site_fract_z
Zn1 0.0000 0.0000 0.0000
Mo1 0.0000 0.0000 0.5107
Mo2 0.5000 0.5000 0.7604
As1 0.5000 0.5000 0.2627
# * energy of formation: 0.028 eV per atom

Record 12
# SmDyIrI PBE-GGA optimized geometry
data_SmDyIrI
_cell_length_a 4.1501
_cell_length_b 4.1501
_cell_length_c 23.9162
_cell_angle_alpha 90.00
_cell_angle_beta 90.00
_cell_angle_gamma 120.00
_space_group_name_H-M_alt 'R 3 m'
_space_group_IT_number 160
_space_group_name_Hall 'R 3 -2"'
loop_
_atom_site_label
_atom_site_fract_x
_atom_site_fract_y
_atom_site_fract_z
Sm1 0.0000 0.0000 0.0000
Dy1 0.0000 0.0000 0.2134
Ir1 0.0000 0.0000 0.6049
I1 0.0000 0.0000 0.7760
# * uncorrected energy: -5.89 eV per atom

no.,total moment (μB per cell)
1,0.00
2,3.51
3,0.00
4,0.00
5,0.00
6,0.00
7,0.00
8,0.00
9,0.00
10,0.00
11,0.00
12,0.00